Entry i
Density functional theory data (PBE-GGA) for AgAs3C after structural relaxation.

Properties
Symmetry: Pm-3m (221)
Total magnetization (μB/atom): 0.02

abc: 4.997 4.997 4.997
angles: 90.00 90.00 90.00
Sites, in units of the cell vectors:
Ag 0.000 0.000 0.000
As 0.000 0.000 0.500
As 0.000 0.500 0.000
As 0.500 0.000 0.000
C 0.500 0.500 0.500

---

Entry ii
Density functional theory data (PBE-GGA) for AgAs3C after structural relaxation.

Properties
Symmetry: Pm-3m (221)
Total magnetization (μB/atom): 0.00

abc: 4.407 4.407 4.407
angles: 90.00 90.00 90.00
Sites, in units of the cell vectors:
Ag 0.000 0.000 0.000
As 0.000 0.500 0.500
As 0.500 0.000 0.500
As 0.500 0.500 0.000
C 0.500 0.500 0.500

---

entry i is the least stable structure shown above.